A plane-wave DFT calculation with GGA-PBE was carried out for Ce2Ho2ZnSi4 after structural relaxation.

Output
Volume, Å³/atom: 22.269
Final energy, eV/atom: -5.036
Energy relative to the elements, uncorrected, eV per atom: -0.1487
M_tot, μB per cell: 1.78

Unit cell a=6.457 b=6.457 c=6.457 alpha=115.87 beta=115.87 gamma=97.31
Fractional coordinates of all 9 atoms:
Ce  0.182  0.182  0.000
Ce  0.818  0.818  0.000
Ho  0.250  0.750  0.500
Ho  0.750  0.250  0.500
Zn  0.500  0.500  0.000
Si  0.257  0.257  0.514
Si  0.257  0.743  0.000
Si  0.743  0.257  0.000
Si  0.743  0.743  0.486

---

A plane-wave DFT calculation with GGA-PBE was carried out for GdSn2Pb after structural relaxation.

Output
Volume, Å³/atom: 29.107
Energy of formation, eV per formula unit: -0.9
Final energy, eV/atom: -6.668
Relative energy among the computed polymorphs, eV per formula unit: 0.80
M_tot, μB per cell: 7.02

Unit cell a=5.481 b=5.481 c=5.481 alpha=60.00 beta=60.00 gamma=60.00
Fractional coordinates of all 4 atoms:
Gd  0.000  0.000  0.000
Sn  0.250  0.250  0.250
Sn  0.750  0.750  0.750
Pb  0.500  0.500  0.500

---

A plane-wave DFT calculation with GGA-PBE was carried out for ScTa2Ag after structural relaxation.

Output
Volume, Å³/atom: 18.824
Energy of formation, eV per formula unit: 2.0
Final energy, eV/atom: -7.723
Relative energy among the computed polymorphs, eV per formula unit: 1.60
M_tot, μB per cell: 0.00

Unit cell a=4.987 b=4.987 c=3.028 alpha=90.00 beta=90.00 gamma=90.00
Fractional coordinates of all 4 atoms:
Sc  0.000  0.000  0.000
Ta  0.000  0.500  0.500
Ta  0.500  0.000  0.500
Ag  0.500  0.500  0.000

---

> Which value of M_tot does entry 2 give?

7.02 μB per cell

---

> What is the final energy in the third record?

-7.723 eV/atom